Record 1
Here is crystalline BaNaP3 at its relaxed geometry from Alexandria. Energies are from PBE.

## Properties
The total energy is -2.91 eV/atom. Its space group is No. 221.

Lattice parameters (Å, degrees): 5.7701 5.7701 5.7701 90.00 90.00 90.00
With the nearest neighbours (Å) after each atom.
Fractional positions:
Ba 0.0000 0.0000 0.0000  6 P 2.89
Na 0.5000 0.5000 0.5000  12 P 4.08
P 0.0000 0.0000 0.5000  2 Ba 2.89
P 0.0000 0.5000 0.0000  2 Ba 2.89
P 0.5000 0.0000 0.0000  2 Ba 2.89

Record 2
Here is crystalline BaNaP at its relaxed geometry from Alexandria. Energies are from PBE.

## Properties
The total energy is -3.54 eV/atom. Its space group is No. 63.

Lattice parameters (Å, degrees): 5.3004 5.3004 6.8031 90.00 90.00 110.55
With the nearest neighbours (Å) after each atom.
Fractional positions:
Ba 0.1508 0.8492 0.7500  5 P 3.17-3.44, 2 Na 3.49
Ba 0.8492 0.1508 0.2500  5 P 3.17-3.44, 2 Na 3.49
Na 0.5000 0.5000 0.0000  2 P 3.03
Na 0.5000 0.5000 0.5000  2 P 3.03
P 0.2129 0.7871 0.2500  2 Na 3.03, 3 Ba 3.17-3.24
P 0.7871 0.2129 0.7500  2 Na 3.03, 3 Ba 3.17-3.24

Record 3
Here is crystalline Ba6Na2P at its relaxed geometry from Alexandria. Energies are from PBE.

## Properties
The total energy is -2.40 eV/atom. Its space group is No. 14.

Lattice parameters (Å, degrees): 8.2248 11.7391 12.3573 90.00 123.39 90.00
With the nearest neighbours (Å) after each atom.
Fractional positions:
Ba 0.1509 0.1389 0.4736  1 P 3.16
Ba 0.1509 0.3611 0.9736  1 P 3.16
Ba 0.2983 0.7414 0.9389  1 P 3.16
Ba 0.2983 0.7586 0.4389  1 P 3.16
Ba 0.3207 0.0357 0.2019  1 P 3.15
Ba 0.3207 0.4643 0.7019  1 P 3.15
Ba 0.6793 0.5357 0.2981  1 P 3.15
Ba 0.6793 0.9643 0.7981  1 P 3.15
Ba 0.7017 0.2414 0.5611  1 P 3.16
Ba 0.7017 0.2586 0.0611  1 P 3.16
Ba 0.8491 0.6389 0.0264  1 P 3.16
Ba 0.8491 0.8611 0.5264  1 P 3.16
Na 0.2156 0.0763 0.8223  9 Ba 4.01-4.45
Na 0.2156 0.4237 0.3223  9 Ba 4.01-4.45
Na 0.7844 0.5763 0.6777  9 Ba 4.01-4.45
Na 0.7844 0.9237 0.1777  9 Ba 4.01-4.45
P 0.5000 0.0000 0.5000  6 Ba 3.15-3.16
P 0.5000 0.5000 0.0000  6 Ba 3.15-3.16

Record 4
Here is crystalline Ba4NaP2 at its relaxed geometry from Alexandria. Energies are from PBE.

## Properties
The total energy is -3.52 eV/atom. Its space group is No. 12.

Lattice parameters (Å, degrees): 9.9792 9.9792 8.1909 113.08 113.08 27.36
With the nearest neighbours (Å) after each atom.
Fractional positions:
Ba 0.1534 0.1534 0.4947  3 P 3.21-3.22
Ba 0.3437 0.3437 0.0100  3 P 3.20-3.21
Ba 0.6563 0.6563 0.9900  3 P 3.20-3.21
Ba 0.8466 0.8466 0.5053  3 P 3.21-3.22
Na 0.0000 0.0000 0.0000  6 Ba 3.87-3.94
P 0.2490 0.2490 0.2518  6 Ba 3.20-3.22
P 0.7510 0.7510 0.7482  6 Ba 3.20-3.22

Record 5
Here is crystalline Ba8Na6P at its relaxed geometry from Alexandria. Energies are from PBE.

## Properties
The total energy is -2.03 eV/atom. Its space group is No. 147.

Lattice parameters (Å, degrees): 11.3990 11.3990 6.9624 90.00 90.00 120.00
With the nearest neighbours (Å) after each atom.
Fractional positions:
Ba 0.0137 0.2360 0.2451  1 P 3.12
Ba 0.2222 0.9863 0.2451  1 P 3.12
Ba 0.2360 0.2222 0.7549  1 P 3.12
Ba 0.3333 0.6667 0.2455  9 Na 4.24-4.33, 3 Ba 4.41
Ba 0.6667 0.3333 0.7545  9 Na 4.24-4.33, 3 Ba 4.41
Ba 0.7640 0.7778 0.2451  1 P 3.12
Ba 0.7778 0.0137 0.7549  1 P 3.12
Ba 0.9863 0.7640 0.7549  1 P 3.12
Na 0.0888 0.4775 0.7504  7 Ba 3.98-4.33, 4 Na 4.18-4.39
Na 0.3888 0.9112 0.7504  7 Ba 3.98-4.33, 4 Na 4.18-4.39
Na 0.4775 0.3888 0.2496  7 Ba 3.98-4.33, 4 Na 4.18-4.39
Na 0.5225 0.6112 0.7504  7 Ba 3.98-4.33, 4 Na 4.18-4.39
Na 0.6112 0.0888 0.2496  7 Ba 3.98-4.33, 4 Na 4.18-4.39
Na 0.9112 0.5225 0.2496  7 Ba 3.98-4.33, 4 Na 4.18-4.39
P 0.0000 0.0000 0.0000  6 Ba 3.12

Record 6
Here is crystalline Ba3NaP at its relaxed geometry from Alexandria. Energies are from PBE.

## Properties
The total energy is -2.96 eV/atom. Its space group is No. 12.

Lattice parameters (Å, degrees): 8.0944 8.0944 10.9796 107.84 107.84 47.94
With the nearest neighbours (Å) after each atom.
Fractional positions:
Ba 0.0948 0.0948 0.1983  2 P 3.17
Ba 0.1568 0.1568 0.6607  1 P 3.10
Ba 0.3591 0.3591 0.0706  3 P 3.20-3.29
Ba 0.6409 0.6409 0.9294  3 P 3.20-3.29
Ba 0.8432 0.8432 0.3393  1 P 3.10
Ba 0.9052 0.9052 0.8017  2 P 3.17
Na 0.4077 0.4077 0.5662  1 Na 3.50
Na 0.5923 0.5923 0.4338  1 Na 3.50
P 0.1314 0.1314 0.9299  6 Ba 3.10-3.29
P 0.8686 0.8686 0.0701  6 Ba 3.10-3.29

Record 7
Here is crystalline Ba2NaP2 at its relaxed geometry from Alexandria. Energies are from PBE.

## Properties
The total energy is -3.72 eV/atom. Its space group is No. 127.

Lattice parameters (Å, degrees): 9.2233 9.2233 3.7253 90.00 90.00 90.00
With the nearest neighbours (Å) after each atom.
Fractional positions:
Ba 0.1337 0.3663 0.0000  6 P 3.21-3.35, 1 Ba 3.49
Ba 0.3663 0.8663 0.0000  6 P 3.21-3.35, 1 Ba 3.49
Ba 0.6337 0.1337 0.0000  6 P 3.21-3.35, 1 Ba 3.49
Ba 0.8663 0.6337 0.0000  6 P 3.21-3.35, 1 Ba 3.49
Na 0.0000 0.0000 0.0000  4 Ba 3.60, 2 Na 3.73, 8 P 3.91
Na 0.5000 0.5000 0.0000  4 Ba 3.60, 2 Na 3.73, 8 P 3.91
P 0.1663 0.6663 0.5000  6 Ba 3.21-3.35
P 0.3337 0.1663 0.5000  6 Ba 3.21-3.35
P 0.6663 0.8337 0.5000  6 Ba 3.21-3.35
P 0.8337 0.3337 0.5000  6 Ba 3.21-3.35

Record 8
Here is crystalline Ba12Na3P5 at its relaxed geometry from Alexandria. Energies are from PBE.

## Properties
The total energy is -3.14 eV/atom. Its space group is No. 230.

Lattice parameters (Å, degrees): 17.6551 17.6551 17.6551 109.47 109.47 109.47
With the nearest neighbours (Å) after each atom.
Fractional positions:
Ba 0.0199 0.1984 0.1143  2 P 3.03-3.24
Ba 0.0199 0.3214 0.9055  2 P 3.03-3.24
Ba 0.0841 0.6984 0.6786  2 P 3.03-3.24
Ba 0.0841 0.8857 0.4055  2 P 3.03-3.24
Ba 0.0945 0.6143 0.4159  2 P 3.03-3.24
Ba 0.0945 0.9801 0.6786  2 P 3.03-3.24
Ba 0.1143 0.0199 0.1984  2 P 3.03-3.24
Ba 0.1143 0.5945 0.9159  2 P 3.03-3.24
Ba 0.1786 0.1984 0.5841  2 P 3.03-3.24
Ba 0.1786 0.4801 0.5945  2 P 3.03-3.24
Ba 0.1984 0.1143 0.0199  2 P 3.03-3.24
Ba 0.1984 0.5841 0.1786  2 P 3.03-3.24
Ba 0.3016 0.3214 0.9159  2 P 3.03-3.24
Ba 0.3016 0.4801 0.3857  2 P 3.03-3.24
Ba 0.3214 0.9055 0.0199  2 P 3.03-3.24
Ba 0.3214 0.9159 0.3016  2 P 3.03-3.24
Ba 0.3857 0.3016 0.4801  2 P 3.03-3.24
Ba 0.3857 0.5841 0.9055  2 P 3.03-3.24
Ba 0.4055 0.0841 0.8857  2 P 3.03-3.24
Ba 0.4055 0.8214 0.5199  2 P 3.03-3.24
Ba 0.4159 0.0945 0.6143  2 P 3.03-3.24
Ba 0.4159 0.8214 0.8016  2 P 3.03-3.24
Ba 0.4801 0.3857 0.3016  2 P 3.03-3.24
Ba 0.4801 0.5945 0.1786  2 P 3.03-3.24
Ba 0.5199 0.4055 0.8214  2 P 3.03-3.24
Ba 0.5199 0.6143 0.6984  2 P 3.03-3.24
Ba 0.5841 0.1786 0.1984  2 P 3.03-3.24
Ba 0.5841 0.9055 0.3857  2 P 3.03-3.24
Ba 0.5945 0.1786 0.4801  2 P 3.03-3.24
Ba 0.5945 0.9159 0.1143  2 P 3.03-3.24
Ba 0.6143 0.4159 0.0945  2 P 3.03-3.24
Ba 0.6143 0.6984 0.5199  2 P 3.03-3.24
Ba 0.6786 0.0841 0.6984  2 P 3.03-3.24
Ba 0.6786 0.0945 0.9801  2 P 3.03-3.24
Ba 0.6984 0.5199 0.6143  2 P 3.03-3.24
Ba 0.6984 0.6786 0.0841  2 P 3.03-3.24
Ba 0.8016 0.4159 0.8214  2 P 3.03-3.24
Ba 0.8016 0.8857 0.9801  2 P 3.03-3.24
Ba 0.8214 0.5199 0.4055  2 P 3.03-3.24
Ba 0.8214 0.8016 0.4159  2 P 3.03-3.24
Ba 0.8857 0.4055 0.0841  2 P 3.03-3.24
Ba 0.8857 0.9801 0.8016  2 P 3.03-3.24
Ba 0.9055 0.0199 0.3214  2 P 3.03-3.24
Ba 0.9055 0.3857 0.5841  2 P 3.03-3.24
Ba 0.9159 0.1143 0.5945  2 P 3.03-3.24
Ba 0.9159 0.3016 0.3214  2 P 3.03-3.24
Ba 0.9801 0.6786 0.0945  2 P 3.03-3.24
Ba 0.9801 0.8016 0.8857  2 P 3.03-3.24
Na 0.1250 0.2500 0.3750  8 Ba 3.98-4.11
Na 0.1250 0.3750 0.7500  8 Ba 3.98-4.11
Na 0.2500 0.3750 0.1250  8 Ba 3.98-4.11
Na 0.2500 0.8750 0.6250  8 Ba 3.98-4.11
Na 0.3750 0.1250 0.2500  8 Ba 3.98-4.11
Na 0.3750 0.7500 0.1250  8 Ba 3.98-4.11
Na 0.6250 0.2500 0.8750  8 Ba 3.98-4.11
Na 0.6250 0.8750 0.7500  8 Ba 3.98-4.11
Na 0.7500 0.1250 0.3750  8 Ba 3.98-4.11
Na 0.7500 0.6250 0.8750  8 Ba 3.98-4.11
Na 0.8750 0.6250 0.2500  8 Ba 3.98-4.11
Na 0.8750 0.7500 0.6250  8 Ba 3.98-4.11
P 0.0000 0.0000 0.0000  6 Ba 3.24
P 0.0000 0.0000 0.5000  6 Ba 3.24
P 0.0000 0.5000 0.0000  6 Ba 3.24
P 0.0000 0.5000 0.5000  6 Ba 3.24
P 0.1250 0.7500 0.8750  4 Ba 3.03
P 0.1250 0.8750 0.2500  4 Ba 3.03
P 0.2500 0.1250 0.8750  4 Ba 3.03
P 0.2500 0.6250 0.3750  4 Ba 3.03
P 0.3750 0.2500 0.6250  4 Ba 3.03
P 0.3750 0.6250 0.7500  4 Ba 3.03
P 0.5000 0.0000 0.0000  6 Ba 3.24
P 0.5000 0.0000 0.5000  6 Ba 3.24
P 0.5000 0.5000 0.0000  6 Ba 3.24
P 0.5000 0.5000 0.5000  6 Ba 3.24
P 0.6250 0.3750 0.2500  4 Ba 3.03
P 0.6250 0.7500 0.3750  4 Ba 3.03
P 0.7500 0.3750 0.6250  4 Ba 3.03
P 0.7500 0.8750 0.1250  4 Ba 3.03
P 0.8750 0.1250 0.7500  4 Ba 3.03
P 0.8750 0.2500 0.1250  4 Ba 3.03

Record 9
Here is crystalline BaNa3P2 at its relaxed geometry from Alexandria. Energies are from PBE.

## Properties
The total energy is -3.32 eV/atom. Its space group is No. 12.

Lattice parameters (Å, degrees): 9.0168 9.0168 8.9384 119.69 119.69 30.09
With the nearest neighbours (Å) after each atom.
Fractional positions:
Ba 0.1377 0.1377 0.1371  6 P 3.31-3.48, 8 Na 3.45-3.67
Ba 0.8623 0.8623 0.8629  6 P 3.31-3.48, 8 Na 3.45-3.67
Na 0.0006 0.0006 0.3387  1 Na 2.89, 4 P 3.01-3.19
Na 0.3400 0.3400 0.5259  3 P 2.90-2.92
Na 0.3407 0.3407 0.1558  3 P 2.90-2.92
Na 0.6593 0.6593 0.8442  3 P 2.90-2.92
Na 0.6600 0.6600 0.4741  3 P 2.90-2.92
Na 0.9994 0.9994 0.6613  1 Na 2.89, 4 P 3.01-3.19
P 0.1896 0.1896 0.6895  6 Na 2.90-3.19
P 0.5001 0.5001 0.1265  1 P 2.26
P 0.4999 0.4999 0.8735  1 P 2.26
P 0.8104 0.8104 0.3105  6 Na 2.90-3.19